# P6Pd21Pb2 (PBE-GGA, relaxed)
# Crystal system: cubic
# Energy relative to the elements (eV/atom): -0.46
# Total magnetic moment (μB per formula unit): 0.00
data_P6Pd21Pb2
_chemical_formula_sum 'P24 Pd84 Pb8'
_cell_length_a 12.203
_cell_length_b 12.203
_cell_length_c 12.203
_cell_angle_alpha 90.00
_cell_angle_beta 90.00
_cell_angle_gamma 90.00
_symmetry_space_group_name_H-M 'F m -3 m'
_symmetry_Int_Tables_number 225
_symmetry_space_group_name_Hall '-F 4 2 3'
loop_
_atom_site_label
_atom_site_type_symbol
_atom_site_fract_x
_atom_site_fract_y
_atom_site_fract_z
P1 P 0.000 0.000 0.238
Pd1 Pd 0.000 0.000 0.500
Pd2 Pd 0.000 0.172 0.328
Pd3 Pd 0.115 0.115 0.115
Pb1 Pb 0.250 0.250 0.250

# Na2CdGa (PBE-GGA, relaxed)
# Crystal system: trigonal
# Energy relative to the elements (eV/atom): 0.02
# Total magnetic moment (μB per formula unit): 0.00
data_Na2CdGa
_chemical_formula_sum 'Na6 Cd3 Ga3'
_cell_length_a 3.2689
_cell_length_b 3.2689
_cell_length_c 31.8931
_cell_angle_alpha 90.00
_cell_angle_beta 90.00
_cell_angle_gamma 120.00
_symmetry_space_group_name_H-M 'R 3 m'
_symmetry_Int_Tables_number 160
_symmetry_space_group_name_Hall 'R 3 -2"'
loop_
_atom_site_label
_atom_site_type_symbol
_atom_site_fract_x
_atom_site_fract_y
_atom_site_fract_z
Na1 Na 0.0000 0.0000 0.0000
Na2 Na 0.0000 0.0000 0.1620
Cd1 Cd 0.0000 0.0000 0.5809
Ga1 Ga 0.0000 0.0000 0.4144

# YTm3Rh (PBE-GGA, relaxed)
# Crystal system: orthorhombic
# Energy relative to the elements (eV/atom): -0.32
# Relative energy among the computed polymorphs (kcal/mol of atoms): 0.000
# Total magnetic moment (μB per formula unit): 0.00
data_YTm3Rh
_chemical_formula_sum 'Y2 Tm6 Rh2'
_cell_length_a 7.455
_cell_length_b 6.463
_cell_length_c 6.072
_cell_angle_alpha 90.00
_cell_angle_beta 90.00
_cell_angle_gamma 90.00
_symmetry_space_group_name_H-M 'P m n 21'
_symmetry_Int_Tables_number 31
_symmetry_space_group_name_Hall 'P 2ac -2'
loop_
_atom_site_label
_atom_site_type_symbol
_atom_site_fract_x
_atom_site_fract_y
_atom_site_fract_z
Y1 Y 0.000 0.148 0.000
Tm1 Tm 0.000 0.849 0.486
Tm2 Tm 0.249 0.314 0.494
Rh1 Rh 0.000 0.505 0.742

Look up the total magnetic moment of the third one.
0.00 μB per formula unit